Here is InFeSe after structural relaxation from Alexandria via LeMat-Bulk. Energies are from PBEsol.

Summary:
DOS at the Fermi energy: 0.83 states/eV per atom
Formation energy from raw total energies: -0.012 eV/atom

Cell: 3.261 3.261 5.785 Å, 90.00 90.00 120.00°
Last column: magnetic moment on the atom in μB.
Fractional coordinates of all 3 atoms:
Se  0.333  0.667  0.267  -0.04
Fe  0.000  0.000  0.033  1.57
In  0.667  0.333  0.700  0.00

Here is In2FeSe after structural relaxation from Alexandria via LeMat-Bulk. Energies are from PBEsol.

Summary:
DOS at the Fermi energy: 1.00 states/eV per atom
Formation energy from raw total energies: 0.261 eV/atom

Cell: 3.047 3.047 8.209 Å, 90.00 90.00 90.00°
Last column: magnetic moment on the atom in μB.
Fractional coordinates of all 4 atoms:
In  0.000  0.000  0.708  -0.02
In  0.000  0.000  0.292  -0.02
Fe  0.500  0.500  0.500  2.27
Se  0.500  0.500  0.000  -0.01

Here is InFeSi after structural relaxation from Alexandria via LeMat-Bulk. Energies are from PBEsol.

Summary:
DOS at the Fermi energy: 0.26 states/eV per atom
Formation energy from raw total energies: 0.011 eV/atom

Cell: 3.069 3.069 5.145 Å, 107.35 107.35 90.00°
Last column: magnetic moment on the atom in μB.
Fractional coordinates of all 3 atoms:
Si  0.371  0.371  0.741  -0.02
In  0.663  0.663  0.326  -0.02
Fe  0.966  0.966  0.933  1.06

Here is InFeSi4 after structural relaxation from Alexandria via LeMat-Bulk. Energies are from PBEsol.

Summary:
DOS at the Fermi energy: 0.75 states/eV per atom
Formation energy from raw total energies: 0.521 eV/atom

Cell: 5.087 5.087 5.087 Å, 60.00 60.00 60.00°
Last column: magnetic moment on the atom in μB.
Fractional coordinates of all 6 atoms:
Si  0.128  0.624  0.624  0.02
Si  0.624  0.128  0.624  0.02
Si  0.624  0.624  0.128  0.02
Si  0.624  0.624  0.624  0.02
Fe  0.250  0.250  0.250  2.82
In  0.000  0.000  0.000  -0.02

Here is InFe3Sn after structural relaxation from Alexandria via LeMat-Bulk. Energies are from PBEsol.

Summary:
Calculated formation energy: 1433 meV per atom
DOS at the Fermi energy: 1.60 states/eV per atom

Cell: 4.709 4.709 4.709 Å, 90.00 90.00 90.00°
Last column: magnetic moment on the atom in μB.
Fractional coordinates of all 5 atoms:
Sn  0.500  0.500  0.500  -0.05
In  0.000  0.000  0.000  -0.12
Fe  0.500  0.000  0.000  2.79
Fe  0.000  0.500  0.000  2.79
Fe  0.000  0.000  0.500  2.79

Here is InFe2Sn after structural relaxation from Alexandria via LeMat-Bulk. Energies are from PBEsol.

Summary:
Calculated formation energy: 272 meV per atom
DOS at the Fermi energy: 1.41 states/eV per atom

Cell: 4.342 4.342 4.342 Å, 60.00 60.00 60.00°
Last column: magnetic moment on the atom in μB.
Fractional coordinates of all 4 atoms:
Fe  0.250  0.250  0.250  0.11
Fe  0.750  0.750  0.750  0.11
Sn  0.500  0.500  0.500  -0.01
In  0.000  0.000  0.000  -0.01

Here is Ta2InFe after structural relaxation from Alexandria via LeMat-Bulk. Energies are from PBEsol.

Summary:
Calculated formation energy: 272 meV per atom
DOS at the Fermi energy: 1.07 states/eV per atom

Cell: 2.958 2.958 9.044 Å, 80.59 80.59 60.00°
Last column: magnetic moment on the atom in μB.
Fractional coordinates of all 4 atoms:
Fe  0.500  0.500  0.500  1.33
Ta  0.239  0.239  0.282  -0.05
Ta  0.761  0.761  0.718  -0.05
In  0.000  0.000  0.000  0.00

Here is Ta3InFe after structural relaxation from Alexandria via LeMat-Bulk. Energies are from PBEsol.

Summary:
Calculated formation energy: 2542 meV per atom
DOS at the Fermi energy: 1.56 states/eV per atom

Cell: 4.908 4.908 4.908 Å, 90.00 90.00 90.00°
Last column: magnetic moment on the atom in μB.
Fractional coordinates of all 5 atoms:
Ta  0.500  0.000  0.000  -0.03
Ta  0.000  0.000  0.500  -0.03
Ta  0.000  0.500  0.000  -0.03
In  0.000  0.000  0.000  0.00
Fe  0.500  0.500  0.500  3.34

Here is TaIn2FeTc after structural relaxation from Alexandria via LeMat-Bulk. Energies are from PBEsol.

Summary:
Calculated formation energy: 1149 meV per atom
DOS at the Fermi energy: 1.45 states/eV per atom

Cell: 4.294 4.683 4.683 Å, 90.00 90.00 90.00°
Last column: magnetic moment on the atom in μB.
Fractional coordinates of all 5 atoms:
In  0.000  0.500  0.000  0.00
In  0.000  0.000  0.500  0.00
Tc  0.500  0.000  0.000  -0.02
Ta  0.500  0.500  0.500  0.06
Fe  0.000  0.000  0.000  0.11

Here is InFeTc2 after structural relaxation from Alexandria via LeMat-Bulk. Energies are from PBEsol.

Summary:
Calculated formation energy: 191 meV per atom
DOS at the Fermi energy: 0.71 states/eV per atom

Cell: 2.812 2.812 7.383 Å, 90.00 90.00 90.00°
Last column: magnetic moment on the atom in μB.
Fractional coordinates of all 4 atoms:
In  0.500  0.500  0.740  -0.04
Fe  0.000  0.000  0.479  1.89
Tc  0.000  0.000  0.028  0.22
Tc  0.500  0.500  0.254  -0.12

Here is InFe2Tc after structural relaxation from Alexandria via LeMat-Bulk. Energies are from PBEsol.

Summary:
Calculated formation energy: 365 meV per atom
DOS at the Fermi energy: 1.40 states/eV per atom

Cell: 4.287 4.287 4.287 Å, 60.00 60.00 60.00°
Last column: magnetic moment on the atom in μB.
Fractional coordinates of all 4 atoms:
Fe  0.000  0.000  0.000  2.42
Fe  0.750  0.750  0.750  2.14
Tc  0.250  0.250  0.250  -0.05
In  0.500  0.500  0.500  -0.02

Here is InFeTc2 after structural relaxation from Alexandria via LeMat-Bulk. Energies are from PBEsol.

Summary:
Calculated formation energy: 290 meV per atom
DOS at the Fermi energy: 0.68 states/eV per atom

Cell: 2.792 2.792 8.918 Å, 80.99 80.99 60.00°
Last column: magnetic moment on the atom in μB.
Fractional coordinates of all 4 atoms:
Tc  0.006  0.006  0.981  0.07
Tc  0.750  0.750  0.749  -0.01
Fe  0.496  0.496  0.513  2.33
In  0.248  0.248  0.257  -0.04

Here is InFe2Tc after structural relaxation from Alexandria via LeMat-Bulk. Energies are from PBEsol.

Summary:
Calculated formation energy: 344 meV per atom
DOS at the Fermi energy: 1.06 states/eV per atom

Cell: 3.800 3.800 4.679 Å, 113.96 113.96 90.00°
Last column: magnetic moment on the atom in μB.
Fractional coordinates of all 4 atoms:
In  0.500  0.500  0.000  -0.05
Tc  0.250  0.750  0.500  0.34
Fe  0.750  0.250  0.500  2.34
Fe  0.000  0.000  0.000  1.97

Here is InFeTc2 after structural relaxation from Alexandria via LeMat-Bulk. Energies are from PBEsol.

Summary:
Calculated formation energy: 326 meV per atom
DOS at the Fermi energy: 1.00 states/eV per atom

Cell: 3.720 3.720 4.911 Å, 112.25 112.25 90.00°
Last column: magnetic moment on the atom in μB.
Fractional coordinates of all 4 atoms:
In  0.000  0.000  0.000  -0.03
Tc  0.750  0.250  0.500  -0.27
Tc  0.250  0.750  0.500  -0.27
Fe  0.500  0.500  0.000  1.50

Here is InFe2Tc after structural relaxation from Alexandria via LeMat-Bulk. Energies are from PBEsol.

Summary:
Calculated formation energy: 335 meV per atom
DOS at the Fermi energy: 1.24 states/eV per atom

Cell: 3.982 3.982 4.490 Å, 116.32 116.32 90.00°
Last column: magnetic moment on the atom in μB.
Fractional coordinates of all 4 atoms:
Fe  0.250  0.750  0.500  2.27
Fe  0.750  0.250  0.500  2.27
In  0.500  0.500  0.000  -0.06
Tc  0.000  0.000  0.000  0.55

Here is InFeTe after structural relaxation from Alexandria via LeMat-Bulk. Energies are from PBEsol.

Summary:
Energy relative to the lowest polymorph listed for this composition: 0 meV/atom
DOS at the Fermi energy: 0.92 states/eV per atom
Formation energy from raw total energies: 0.320 eV/atom

Cell: 4.029 4.381 4.381 Å, 120.00 90.00 90.00°
Last column: magnetic moment on the atom in μB.
Fractional coordinates of all 3 atoms:
In  0.665  0.333  0.667  0.01
Te  0.165  0.667  0.333  0.05
Fe  0.169  0.000  0.000  2.57

Here is In3FeTe after structural relaxation from Alexandria via LeMat-Bulk. Energies are from PBEsol.

Summary:
DOS at the Fermi energy: 1.83 states/eV per atom
Formation energy from raw total energies: 1.281 eV/atom

Cell: 5.609 5.609 5.609 Å, 90.00 90.00 90.00°
Last column: magnetic moment on the atom in μB.
Fractional coordinates of all 5 atoms:
In  0.000  0.000  0.500  -0.02
In  0.500  0.000  0.000  -0.02
In  0.000  0.500  0.000  -0.02
Te  0.000  0.000  0.000  -0.01
Fe  0.500  0.500  0.500  3.31

Here is InFeTe2 after structural relaxation from Alexandria via LeMat-Bulk. Energies are from PBEsol.

Summary:
DOS at the Fermi energy: 1.35 states/eV per atom
Formation energy from raw total energies: 0.483 eV/atom

Cell: 3.851 4.234 6.114 Å, 90.00 90.00 90.00°
Last column: magnetic moment on the atom in μB.
Fractional coordinates of all 4 atoms:
Fe  0.500  0.500  0.000  3.12
Te  0.000  0.500  0.500  0.09
Te  0.000  0.000  0.000  0.07
In  0.500  0.000  0.500  0.00

Here is InFeTe after structural relaxation from Alexandria via LeMat-Bulk. Energies are from PBEsol.

Summary:
Energy relative to the lowest polymorph listed for this composition: 396 meV/atom
DOS at the Fermi energy: 0.41 states/eV per atom
Formation energy from raw total energies: 0.716 eV/atom

Cell: 4.748 4.748 4.748 Å, 60.00 60.00 60.00°
Last column: magnetic moment on the atom in μB.
Fractional coordinates of all 3 atoms:
Fe  0.000  0.000  0.000  2.87
Te  0.250  0.250  0.250  0.01
In  0.500  0.500  0.500  0.01

Here is InFe2Te after structural relaxation from Alexandria via LeMat-Bulk. Energies are from PBEsol.

Summary:
Energy relative to the lowest polymorph listed for this composition: 304 meV/atom
DOS at the Fermi energy: 0.43 states/eV per atom
Formation energy from raw total energies: 0.680 eV/atom

Cell: 4.643 4.643 4.643 Å, 60.00 60.00 60.00°
Last column: magnetic moment on the atom in μB.
Fractional coordinates of all 4 atoms:
Fe  0.750  0.750  0.750  2.56
Fe  0.000  0.000  0.000  2.53
Te  0.250  0.250  0.250  0.02
In  0.500  0.500  0.500  -0.09

Number 1: calculated volume 17.76 Å³/atom, magnetization 1.556 μB per formula unit. Number 2: calculated volume 19.05 Å³/atom, magnetization 2.196 μB per formula unit. Number 3: calculated volume 14.65 Å³/atom, magnetization 0.974 μB per formula unit. Number 4: calculated volume 15.51 Å³/atom, magnetization 2.856 μB per formula unit. Number 5: calculated volume 20.88 Å³/atom, magnetization 8.232 μB per formula unit. Number 6: calculated volume 14.47 Å³/atom, magnetization 0.200 μB per formula unit. Number 7: calculated volume 16.83 Å³/atom, magnetization 1.215 μB per formula unit. Number 8: calculated volume 23.65 Å³/atom, magnetization 3.190 μB per formula unit. Number 9: calculated volume 18.83 Å³/atom, magnetization 0.182 μB per formula unit. Number 10: calculated volume 14.60 Å³/atom, magnetization 1.958 μB per formula unit. Number 11: calculated volume 13.93 Å³/atom, magnetization 4.453 μB per formula unit. Number 12: calculated volume 14.81 Å³/atom, magnetization 2.349 μB per formula unit. Number 13: calculated volume 13.83 Å³/atom, magnetization 4.612 μB per formula unit. Number 14: calculated volume 14.35 Å³/atom, magnetization 0.908 μB per formula unit. Number 15: calculated volume 13.86 Å³/atom, magnetization 5.056 μB per formula unit. Number 16: calculated volume 22.32 Å³/atom, magnetization 2.689 μB per formula unit. Number 17: calculated volume 35.29 Å³/atom, magnetization 3.206 μB per formula unit. Number 18: calculated volume 24.92 Å³/atom, magnetization 3.482 μB per formula unit. Number 19: calculated volume 25.23 Å³/atom, magnetization 2.916 μB per formula unit. Number 20: calculated volume 17.69 Å³/atom, magnetization 4.889 μB per formula unit.